# Ba4RuO6, relaxed, DFT GGA-PBE
data_Ba4RuO6
_chemical_formula_sum 'Ba8 Ru2 O12'
_cell_length_a 7.443
_cell_length_b 7.443
_cell_length_c 7.652
_cell_angle_alpha 90.00
_cell_angle_beta 90.00
_cell_angle_gamma 90.00
_symmetry_space_group_name_H-M 'P 1'
_symmetry_Int_Tables_number 1
_symmetry_space_group_name_Hall 'P 1'
loop_
_atom_site_label
_atom_site_type_symbol
_atom_site_fract_x
_atom_site_fract_y
_atom_site_fract_z
Ba1 Ba 0.325 0.175 0.250
Ba2 Ba 0.175 0.675 0.750
Ba3 Ba 0.675 0.825 0.750
Ba4 Ba 0.825 0.325 0.750
Ba5 Ba 0.325 0.175 0.750
Ba6 Ba 0.175 0.675 0.250
Ba7 Ba 0.825 0.325 0.250
Ba8 Ba 0.675 0.825 0.250
Ru1 Ru 0.500 0.500 0.000
Ru2 Ru 0.000 0.000 0.500
O1 O 0.276 0.907 0.500
O2 O 0.776 0.593 0.000
O3 O 0.593 0.224 0.000
O4 O 0.093 0.276 0.500
O5 O 0.000 0.000 0.242
O6 O 0.500 0.500 0.258
O7 O 0.407 0.776 0.000
O8 O 0.000 0.000 0.758
O9 O 0.224 0.407 0.000
O10 O 0.500 0.500 0.742
O11 O 0.907 0.724 0.500
O12 O 0.724 0.093 0.500
# Calculated volume, Å³/f.u.: 212
# Density of states at the Fermi level, states/eV per atom: 0.1564
# Uncorrected formation energy, eV per atom: -2.063
# SG: P4/mnc (128)
# E_tot, eV/atom: -6.3101
# Size of the total moment, μB/cell: 4.001

---

# Tb5GaSi2, relaxed, DFT GGA-PBE
data_Tb5GaSi2
_chemical_formula_sum 'Tb10 Ga2 Si4'
_cell_length_a 7.584
_cell_length_b 7.584
_cell_length_c 8.791
_cell_angle_alpha 115.55
_cell_angle_beta 115.55
_cell_angle_gamma 90.00
_symmetry_space_group_name_H-M 'P 1'
_symmetry_Int_Tables_number 1
_symmetry_space_group_name_Hall 'P 1'
loop_
_atom_site_label
_atom_site_type_symbol
_atom_site_fract_x
_atom_site_fract_y
_atom_site_fract_z
Tb1 Tb 0.531 0.683 0.714
Tb2 Tb 0.817 0.969 0.286
Tb3 Tb 0.000 0.000 0.000
Tb4 Tb 0.500 0.500 0.000
Tb5 Tb 0.183 0.031 0.714
Tb6 Tb 0.683 0.183 0.714
Tb7 Tb 0.031 0.531 0.714
Tb8 Tb 0.317 0.817 0.286
Tb9 Tb 0.969 0.469 0.286
Tb10 Tb 0.469 0.317 0.286
Ga1 Ga 0.750 0.750 0.500
Ga2 Ga 0.250 0.250 0.500
Si1 Si 0.121 0.379 0.000
Si2 Si 0.621 0.121 0.000
Si3 Si 0.379 0.879 0.000
Si4 Si 0.879 0.621 0.000
# Calculated volume, Å³/f.u.: 200
# Density of states at the Fermi level, states/eV per atom: 0.7351
# Uncorrected formation energy, eV per atom: -0.612
# SG: I4/mcm (140)
# E_tot, eV/atom: -5.2397
# Size of the total moment, μB/cell: 0.000

---

# LaTi2Tc2, relaxed, DFT GGA-PBE
data_LaTi2Tc2
_chemical_formula_sum 'La2 Ti4 Tc4'
_cell_length_a 7.725
_cell_length_b 7.725
_cell_length_c 3.112
_cell_angle_alpha 90.00
_cell_angle_beta 90.00
_cell_angle_gamma 90.00
_symmetry_space_group_name_H-M 'P 1'
_symmetry_Int_Tables_number 1
_symmetry_space_group_name_Hall 'P 1'
loop_
_atom_site_label
_atom_site_type_symbol
_atom_site_fract_x
_atom_site_fract_y
_atom_site_fract_z
Ti1 Ti 0.135 0.635 0.500
Ti2 Ti 0.635 0.865 0.500
Ti3 Ti 0.865 0.365 0.500
Ti4 Ti 0.365 0.135 0.500
Tc1 Tc 0.352 0.852 0.000
Tc2 Tc 0.852 0.648 0.000
Tc3 Tc 0.648 0.148 0.000
Tc4 Tc 0.148 0.352 0.000
La1 La 0.000 0.000 0.000
La2 La 0.500 0.500 0.000
# Formation energy, eV/f.u.: -0.2
# Calculated volume, Å³/f.u.: 93
# Density of states at the Fermi level, states/eV per atom: 1.1532
# SG: P4/mbm (127)
# E_tot, eV/atom: -8.3224
# Offset from the most stable computed form, meV per atom: 78
# Size of the total moment, μB/cell: 0.000

---

# MgBe3O, relaxed, DFT GGA-PBE
data_MgBe3O
_chemical_formula_sum 'Mg1 Be3 O1'
_cell_length_a 4.562
_cell_length_b 4.562
_cell_length_c 4.562
_cell_angle_alpha 90.00
_cell_angle_beta 90.00
_cell_angle_gamma 90.00
_symmetry_space_group_name_H-M 'P 1'
_symmetry_Int_Tables_number 1
_symmetry_space_group_name_Hall 'P 1'
loop_
_atom_site_label
_atom_site_type_symbol
_atom_site_fract_x
_atom_site_fract_y
_atom_site_fract_z
Be1 Be 0.000 0.500 0.000
Be2 Be 0.000 0.000 0.500
Be3 Be 0.500 0.000 0.000
Mg1 Mg 0.000 0.000 0.000
O1 O 0.500 0.500 0.500
# Calculated volume, Å³/f.u.: 95
# Density of states at the Fermi level, states/eV per atom: 0.6111
# Uncorrected formation energy, eV per atom: 1.881
# SG: Pm-3m (221)
# E_tot, eV/atom: -1.6656
# Offset from the most stable computed form, meV per atom: 1953
# Size of the total moment, μB/cell: 1.580

---

# TbSmMnIn, relaxed, DFT GGA-PBE
data_TbSmMnIn
_chemical_formula_sum 'Tb1 Sm1 Mn1 In1'
_cell_length_a 5.265
_cell_length_b 5.265
_cell_length_c 5.265
_cell_angle_alpha 60.00
_cell_angle_beta 60.00
_cell_angle_gamma 60.00
_symmetry_space_group_name_H-M 'P 1'
_symmetry_Int_Tables_number 1
_symmetry_space_group_name_Hall 'P 1'
loop_
_atom_site_label
_atom_site_type_symbol
_atom_site_fract_x
_atom_site_fract_y
_atom_site_fract_z
Mn1 Mn 0.000 0.000 0.000
Tb1 Tb 0.250 0.250 0.250
Sm1 Sm 0.750 0.750 0.750
In1 In 0.500 0.500 0.500
# Formation energy, eV/f.u.: -0.3
# Calculated volume, Å³/f.u.: 103
# Density of states at the Fermi level, states/eV per atom: 1.2178
# SG: F-43m (216)
# E_tot, eV/atom: -5.3978
# Size of the total moment, μB/cell: 3.356

---

# MnAg, relaxed, DFT GGA-PBE
data_MnAg
_chemical_formula_sum 'Mn2 Ag2'
_cell_length_a 9.333
_cell_length_b 9.333
_cell_length_c 9.333
_cell_angle_alpha 17.52
_cell_angle_beta 17.52
_cell_angle_gamma 17.52
_symmetry_space_group_name_H-M 'P 1'
_symmetry_Int_Tables_number 1
_symmetry_space_group_name_Hall 'P 1'
loop_
_atom_site_label
_atom_site_type_symbol
_atom_site_fract_x
_atom_site_fract_y
_atom_site_fract_z
Ag1 Ag 0.003 0.003 0.003
Ag2 Ag 0.247 0.247 0.247
Mn1 Mn 0.496 0.496 0.496
Mn2 Mn 0.754 0.754 0.754
# Formation energy, eV/f.u.: 0.6
# Calculated volume, Å³/f.u.: 32
# Density of states at the Fermi level, states/eV per atom: 0.6950
# SG: R-3m (166)
# E_tot, eV/atom: -5.6879
# Size of the total moment, μB/cell: 6.918

---

# Ti2ZnN, relaxed, DFT GGA-PBE
data_Ti2ZnN
_chemical_formula_sum 'Ti2 Zn1 N1'
_cell_length_a 3.013
_cell_length_b 3.013
_cell_length_c 6.940
_cell_angle_alpha 77.46
_cell_angle_beta 77.46
_cell_angle_gamma 60.00
_symmetry_space_group_name_H-M 'P 1'
_symmetry_Int_Tables_number 1
_symmetry_space_group_name_Hall 'P 1'
loop_
_atom_site_label
_atom_site_type_symbol
_atom_site_fract_x
_atom_site_fract_y
_atom_site_fract_z
Zn1 Zn 0.500 0.500 0.500
N1 N 0.000 0.000 0.000
Ti1 Ti 0.723 0.723 0.830
Ti2 Ti 0.277 0.277 0.170
# Calculated volume, Å³/f.u.: 53
# Density of states at the Fermi level, states/eV per atom: 0.7156
# Uncorrected formation energy, eV per atom: -1.028
# SG: R-3m (166)
# E_tot, eV/atom: -7.3751
# Offset from the most stable computed form, meV per atom: 34
# Size of the total moment, μB/cell: 0.000

---

# Cd2NiBr, relaxed, DFT GGA-PBE
data_Cd2NiBr
_chemical_formula_sum 'Cd2 Ni1 Br1'
_cell_length_a 3.244
_cell_length_b 4.546
_cell_length_c 5.813
_cell_angle_alpha 90.00
_cell_angle_beta 90.00
_cell_angle_gamma 90.00
_symmetry_space_group_name_H-M 'P 1'
_symmetry_Int_Tables_number 1
_symmetry_space_group_name_Hall 'P 1'
loop_
_atom_site_label
_atom_site_type_symbol
_atom_site_fract_x
_atom_site_fract_y
_atom_site_fract_z
Br1 Br 0.000 0.500 0.500
Cd1 Cd 0.000 0.000 0.000
Cd2 Cd 0.500 0.500 0.000
Ni1 Ni 0.500 0.000 0.500
# Calculated volume, Å³/f.u.: 86
# Density of states at the Fermi level, states/eV per atom: 0.5928
# Uncorrected formation energy, eV per atom: 0.326
# SG: Pmmm (47)
# E_tot, eV/atom: -1.9952
# Offset from the most stable computed form, meV per atom: 350
# Size of the total moment, μB/cell: 0.415